Run A
This record from the Alexandria database describes a relaxed structure of ZrBe2Tl. The functional is GGA-PBE.

Cell: 4.593 4.593 4.593 Å, 60.00 60.00 60.00°
Fractional coordinates of all 4 atoms:
Be (0.000, 0.000, 0.000)
Zr (0.750, 0.750, 0.750)
Tl (0.500, 0.500, 0.500)
Be (0.250, 0.250, 0.250)

Output
crystal system	cubic
symmetry	F-43m, No. 216
Fermi-level density of states	0.449	states/eV/atom

---

Run B
This record from the Alexandria database describes a relaxed structure of ZrBe2Tl. The functional is GGA-PBE.

Cell: 3.296 3.295 6.329 Å, 90.00 90.00 90.00°
Fractional coordinates of all 4 atoms:
Be (0.000, 0.000, 0.971)
Tl (0.500, 0.500, 0.250)
Be (0.000, 0.000, 0.529)
Zr (0.500, 0.500, 0.750)

Output
crystal system	tetragonal
symmetry	P4/mmm, No. 123
Fermi-level density of states	0.431	states/eV/atom

---

Run C
This record from the Alexandria database describes a relaxed structure of ZrBe2Tl. The functional is GGA-PBE.

Cell: 3.715 3.776 4.917 Å, 67.21 90.00 90.00°
Fractional coordinates of all 4 atoms:
Tl (0.000, 0.478, 0.420)
Zr (0.500, 0.767, 0.843)
Be (0.000, 0.191, 0.993)
Be (0.500, 0.064, 0.244)

Output
crystal system	monoclinic
symmetry	Pm, No. 6
Fermi-level density of states	0.557	states/eV/atom

---

Structures ranked by computed energy, the most stable listed first: run C, run B, run A.

---

Run A
This record from the Alexandria database describes a relaxed structure of Zr3BeTl. The functional is GGA-PBE.

Cell: 4.767 4.767 4.767 Å, 90.00 90.00 90.00°
Fractional coordinates of all 5 atoms:
Be (0.000, 0.000, 0.000)
Zr (0.000, 0.000, 0.500)
Zr (0.000, 0.500, 0.000)
Tl (0.500, 0.500, 0.500)
Zr (0.500, 0.000, 0.000)

Output
crystal system	cubic
symmetry	Pm-3m, No. 221
Fermi-level density of states	1.087	states/eV/atom

---

Run B
This record from the Alexandria database describes a relaxed structure of Zr3BeTl. The functional is GGA-PBE.

Cell: 5.309 5.309 5.309 Å, 90.00 90.00 90.00°
Fractional coordinates of all 5 atoms:
Zr (0.000, 0.500, 0.000)
Be (0.500, 0.500, 0.500)
Zr (0.500, 0.000, 0.000)
Zr (0.000, 0.000, 0.500)
Tl (0.000, 0.000, 0.000)

Output
crystal system	cubic
symmetry	Pm-3m, No. 221
Fermi-level density of states	1.106	states/eV/atom

---

Structures ranked by computed energy, the most stable listed first: run A, run B.

---

Run A
This record from the Alexandria database describes a relaxed structure of ZrBe3Tl. The functional is GGA-PBE.

Cell: 4.436 4.436 4.436 Å, 90.00 90.00 90.00°
Fractional coordinates of all 5 atoms:
Be (0.000, 0.500, 0.000)
Tl (0.000, 0.000, 0.000)
Be (0.500, 0.000, 0.000)
Zr (0.500, 0.500, 0.500)
Be (0.000, 0.000, 0.500)

Output
crystal system	cubic
symmetry	Pm-3m, No. 221
Fermi-level density of states	0.474	states/eV/atom

---

Run B
This record from the Alexandria database describes a relaxed structure of ZrBe3Tl. The functional is GGA-PBE.

Cell: 4.822 4.822 4.822 Å, 90.00 90.00 90.00°
Fractional coordinates of all 5 atoms:
Be (0.500, 0.000, 0.000)
Be (0.000, 0.500, 0.000)
Tl (0.500, 0.500, 0.500)
Be (0.000, 0.000, 0.500)
Zr (0.000, 0.000, 0.000)

Output
crystal system	cubic
symmetry	Pm-3m, No. 221
Fermi-level density of states	0.553	states/eV/atom

---

Structures ranked by computed energy, the most stable listed first: run A, run B.

---

Run A
This record from the Alexandria database describes a relaxed structure of Tm3Be. The functional is GGA-PBE.

Cell: 3.575 3.382 8.848 Å, 90.00 90.00 90.00°
Fractional coordinates of all 4 atoms:
Be (0.000, 0.000, 0.992)
Tm (0.000, 0.500, 0.466)
Tm (0.500, 0.000, 0.745)
Tm (0.500, 0.500, 0.131)

Output
crystal system	orthorhombic
symmetry	Pmm2, No. 25
Fermi-level density of states	1.038	states/eV/atom

---

Run B
This record from the Alexandria database describes a relaxed structure of Tm3Be. The functional is GGA-PBE.

Cell: 3.526 5.082 6.298 Å, 113.79 106.26 90.00°
Fractional coordinates of all 4 atoms:
Tm (0.500, 0.416, 0.000)
Be (0.000, 0.917, 0.000)
Tm (0.706, 0.122, 0.412)
Tm (0.294, 0.711, 0.588)

Output
crystal system	orthorhombic
symmetry	Immm, No. 71
Fermi-level density of states	1.020	states/eV/atom

---

Structures ranked by computed energy, the most stable listed first: run B, run A.